Density functional theory data (GGA-PBE) for an optimized crystal structure of DyPbAu2.

- total magnetization (μB per formula unit) = 0.0
- ρ (Mg/m³) = 13.378
- symmetry = No. 123
- V (Å³ per cell) = 94.79
- E (eV per atom) = -4.29
- formation enthalpy at 0 K (meV/atom) = -571

Cell: 3.7374 3.7374 6.7858 Å, 90.00 90.00 90.00°
With the nearest neighbours (Å) after each atom.
Atoms (fractional coordinates):
Au (0.0000, 0.0000, 0.2230)  1 Au 3.03, 4 Dy 3.05, 4 Pb 3.24
Au (0.0000, 0.0000, 0.7770)  1 Au 3.03, 4 Dy 3.05, 4 Pb 3.24
Dy (0.5000, 0.5000, 0.0000)  8 Au 3.05, 2 Pb 3.39
Pb (0.5000, 0.5000, 0.5000)  8 Au 3.24, 2 Dy 3.39

Density functional theory data (GGA-PBE) for an optimized crystal structure of Dy7Pb2Au2.

- total magnetization (μB per formula unit) = 0.0
- ρ (Mg/m³) = 9.534
- symmetry = No. 65
- V (Å³ per cell) = 338.90
- E (eV per atom) = -4.51
- formation enthalpy at 0 K (meV/atom) = -313

Cell: 7.0514 7.0665 7.0514 Å, 90.00 105.30 90.00°
With the nearest neighbours (Å) after each atom.
Atoms (fractional coordinates):
Au (0.2852, 0.0000, 0.7148)  6 Dy 2.83-2.95
Dy (0.5000, 0.7579, 0.5000)  2 Au 2.95, 2 Pb 3.26
Pb (0.8163, 0.5000, 0.8163)  1 Pb 3.14, 6 Dy 3.26-3.34
Au (0.7148, 0.0000, 0.2852)  6 Dy 2.83-2.95
Pb (0.1837, 0.5000, 0.1837)  1 Pb 3.14, 6 Dy 3.26-3.34
Dy (0.5000, 0.2421, 0.5000)  2 Au 2.95, 2 Pb 3.26
Dy (0.5000, 0.7428, 0.0000)  2 Au 2.83
Dy (0.0000, 0.0000, 0.0000)  2 Au 3.20
Dy (0.0000, 0.7428, 0.5000)  2 Au 2.83
Dy (0.5000, 0.2572, 0.0000)  2 Au 2.83
Dy (0.0000, 0.2572, 0.5000)  2 Au 2.83